Here is crystalline CeUPaGe at its relaxed geometry from the Alexandria database. Energies are from PBE.

Summary:
Energy of formation from the pure elements   0.028 eV per atom
Electronic total energy   -31.2 eV for the cell shown
Symmetry   F-43m

Structure (POSCAR):
```
CeUPaGe
1.0
0.000 3.577 3.577
3.577 0.000 3.577
3.577 3.577 0.000
Ce U Pa Ge
1 1 1 1
direct
0.000 0.000 0.000
0.250 0.250 0.250
0.500 0.500 0.500
0.750 0.750 0.750
```

=====

Here is crystalline Cs2RbHg2Br6 at its relaxed geometry from the Alexandria database. Energies are from PBE.

Summary:
Formation energy from raw total energies   -1116 meV/atom
Electronic total energy   -25.6 eV for the cell shown
Symmetry   C2/m

Structure (POSCAR):
```
Cs2RbHg2Br6
1.0
6.881 -4.200 0.000
6.881 4.200 0.000
-4.334 0.000 8.727
Cs Rb Hg Br
2 1 2 6
direct
0.208 0.208 0.193
0.792 0.792 0.807
0.000 0.000 0.500
0.470 0.470 0.842
0.530 0.530 0.158
0.154 0.701 0.172
0.273 0.273 0.604
0.299 0.846 0.828
0.701 0.154 0.172
0.727 0.727 0.396
0.846 0.299 0.828
```

=====

Here is crystalline PmAgAsP at its relaxed geometry from the Alexandria database. Energies are from PBE.

Summary:
Energy of formation from the pure elements   -0.371 eV per atom
Electronic total energy   -19.1 eV for the cell shown
Symmetry   F-43m

Structure (POSCAR):
```
PmAgAsP
1.0
0.000 3.464 3.464
3.464 0.000 3.464
3.464 3.464 0.000
Pm Ag As P
1 1 1 1
direct
0.000 0.000 0.000
0.500 0.500 0.500
0.750 0.750 0.750
0.250 0.250 0.250
```

=====

Here is crystalline SiGeAu at its relaxed geometry from the Alexandria database. Energies are from PBE.

Summary:
Formation energy from raw total energies   55 meV/atom
Electronic total energy   -13.2 eV for the cell shown
Energy relative to the lowest polymorph listed for this composition   0.000 eV/atom
Symmetry   Pm

Structure (POSCAR):
```
SiGeAu
1.0
3.942 0.000 0.000
0.000 3.171 0.000
-1.961 0.000 5.297
Si Ge Au
1 1 1
direct
0.000 0.000 0.000
0.371 0.000 0.740
0.177 0.500 0.352
```

=====

Here is crystalline Hf2Cd3 at its relaxed geometry from the Alexandria database. Energies are from PBE.

Summary:
Energy of formation from the pure elements   -0.015 eV per atom
Electronic total energy   -22.7 eV for the cell shown
Symmetry   R-3m

Structure (POSCAR):
```
Hf2Cd3
1.0
1.610 0.930 12.474
-1.610 0.930 12.474
0.000 -1.860 12.474
Hf Cd
2 3
direct
0.198 0.198 0.198
0.802 0.802 0.802
0.000 0.000 0.000
0.400 0.400 0.400
0.600 0.600 0.600
```

=====

Here is crystalline PaZnRh at its relaxed geometry from the Alexandria database. Energies are from PBE.

Summary:
Energy of formation from the pure elements   -0.471 eV per atom
Electronic total energy   -19.5 eV for the cell shown
Symmetry   P-6m2

Structure (POSCAR):
```
PaZnRh
1.0
4.538 0.000 0.000
-2.269 3.930 0.000
0.000 0.000 3.122
Pa Zn Rh
1 1 1
direct
0.000 0.000 0.000
0.667 0.333 0.500
0.333 0.667 0.500
```